(1)
Compound: RhCl4
Source: Alexandria via LeMat-Bulk
Functional: PBE-GGA
Structure: relaxed

```
RhCl4
1.0
-4.824 4.683 3.875
-4.272 3.502 -2.315
-7.049 -2.923 2.529
Cl Rh
8 2
direct
0.046 0.724 0.355
0.401 0.224 0.645
0.269 0.757 0.885
0.731 0.243 0.115
0.954 0.276 0.645
0.153 0.257 0.115
0.847 0.743 0.885
0.599 0.776 0.355
0.066 0.250 0.867
0.934 0.750 0.133
```

Calculated values
DFT total energy in eV/atom: -3.36
Formation energy from raw total energies in meV per atom: -416
Total magnetization in μB/cell: 1.963
Crystal system: monoclinic

=====

(2)
Compound: LiSiHg2Au
Source: Alexandria via LeMat-Bulk
Functional: PBE-GGA
Structure: relaxed

```
LiSiHg2Au
1.0
4.809 0.000 0.000
0.000 4.555 0.000
0.000 0.000 4.809
Si Au Li Hg
1 1 1 2
direct
0.000 0.500 0.000
0.500 0.500 0.500
0.000 0.000 0.000
0.500 0.000 0.000
0.000 0.000 0.500
```

Calculated values
DFT total energy in eV/atom: -1.75
Formation energy from raw total energies in meV per atom: 493
Total magnetization in μB/cell: 0.000
Crystal system: tetragonal

=====

(3)
Compound: La2YIr
Source: Alexandria via LeMat-Bulk
Functional: PBE-GGA
Structure: relaxed

```
La2YIr
1.0
6.289 0.000 0.000
3.211 5.407 0.000
-4.750 -2.703 3.111
Ir Y La
1 1 2
direct
0.750 0.250 0.500
0.500 0.500 0.000
0.000 0.000 0.000
0.250 0.750 0.500
```

Calculated values
Distance to the lowest polymorph of the same formula in kJ/mol of atoms: 38.9
DFT total energy in eV/atom: -6.39
Total magnetization in μB/cell: 0.000
Crystal system: tetragonal

=====

(4)
Compound: NdPaNi4
Source: Alexandria via LeMat-Bulk
Functional: PBE-GGA
Structure: relaxed

```
NdPaNi4
1.0
5.100 0.000 0.000
2.550 4.417 0.000
2.550 1.472 4.165
Ni Pa Nd
4 1 1
direct
0.122 0.626 0.626
0.626 0.626 0.626
0.626 0.122 0.626
0.626 0.626 0.122
0.000 0.000 0.000
0.250 0.250 0.250
```

Calculated values
DFT total energy in eV/atom: -6.50
Total magnetization in μB/cell: 0.002
Crystal system: cubic

=====

(5)
Compound: NaCaAgAs2
Source: Alexandria via LeMat-Bulk
Functional: PBE-GGA
Structure: relaxed

```
NaCaAgAs2
1.0
5.069 0.000 0.000
0.000 5.025 0.000
0.000 0.000 5.069
Ca As Na Ag
1 2 1 1
direct
0.000 0.500 0.000
0.500 0.000 0.000
0.000 0.000 0.500
0.000 0.000 0.000
0.500 0.500 0.500
```

Calculated values
DFT total energy in eV/atom: -2.61
Total magnetization in μB/cell: 0.000
Crystal system: tetragonal

=====

(6)
Compound: Pm2ZnH2
Source: Alexandria via LeMat-Bulk
Functional: PBE-GGA
Structure: relaxed

```
Pm2ZnH2
1.0
-2.024 -2.414 2.146
3.208 -1.205 1.670
-1.207 6.171 2.419
Zn H Pm
1 2 2
direct
0.000 0.000 0.000
0.750 0.250 0.500
0.250 0.750 0.500
0.644 0.644 0.289
0.356 0.356 0.711
```

Calculated values
DFT total energy in eV/atom: -4.00
Total magnetization in μB/cell: 0.000
Crystal system: tetragonal

=====

(7)
Compound: BaMgCl
Source: Alexandria via LeMat-Bulk
Functional: PBE-GGA
Structure: relaxed

```
BaMgCl
1.0
5.406 0.000 0.000
2.703 4.682 0.000
2.703 1.561 4.414
Ba Mg Cl
1 1 1
direct
0.500 0.500 0.500
0.000 0.000 0.000
0.750 0.750 0.750
```

Calculated values
Distance to the lowest polymorph of the same formula in kJ/mol of atoms: 9.6
DFT total energy in eV/atom: -2.58
Formation energy from raw total energies in meV per atom: -791
Total magnetization in μB/cell: 0.682
Crystal system: cubic

=====

(8)
Compound: Tb14YIn
Source: Alexandria via LeMat-Bulk
Functional: PBE-GGA
Structure: relaxed

```
Tb14YIn
1.0
7.001 0.939 0.000
-0.939 7.001 0.000
0.000 0.000 10.016
Y Tb In
1 14 1
direct
0.375 0.625 0.000
0.626 0.876 0.248
0.375 0.125 0.000
0.375 0.125 0.500
0.124 0.876 0.753
0.626 0.876 0.752
0.375 0.625 0.500
0.124 0.374 0.752
0.626 0.374 0.752
0.875 0.625 0.000
0.875 0.625 0.500
0.124 0.374 0.248
0.875 0.125 0.500
0.124 0.876 0.247
0.626 0.374 0.248
0.875 0.125 0.000
```

Calculated values
DFT total energy in eV/atom: -4.66
Total magnetization in μB/cell: 0.000
Crystal system: tetragonal